# 1
{
  "formula": "KTlPb",
  "functional": "GGA-PBE",
  "state": "relaxed",
  "space_group": "No. 1",
  "formation_enthalpy_0k_ev_per_atom": -0.095,
  "dft_energy_ev_per_atom": -2.4857,
  "crystal_system": "triclinic",
  "lattice_angstrom": [[6.9815, 0.0000, 0.0000], [0.9905, 7.6034, 0.0000], [2.8826, 2.9304, 8.4688]],
  "species": ["K", "K", "K", "K", "Tl", "Tl", "Tl", "Tl", "Pb", "Pb", "Pb", "Pb"],
  "fractional_positions": [[0.0000, 0.0000, 0.0000], [0.0965, 0.4845, 0.1514], [0.2809, 0.9483, 0.4101], [0.4927, 0.2940, 0.7883], [0.0356, 0.3227, 0.5967], [0.4634, 0.4970, 0.4002], [0.5433, 0.7903, 0.0549], [0.8165, 0.7102, 0.4401], [0.4849, 0.8026, 0.7359], [0.6240, 0.3272, 0.1166], [0.7626, 0.1298, 0.4445], [0.9093, 0.6139, 0.8039]]
}



# 2
{
  "formula": "KTlPb",
  "functional": "GGA-PBE",
  "state": "relaxed",
  "space_group": "No. 62",
  "formation_enthalpy_0k_ev_per_atom": -0.070,
  "dft_energy_ev_per_atom": -2.4608,
  "crystal_system": "orthorhombic",
  "lattice_angstrom": [[12.9145, 0.0000, 0.0000], [0.0000, 6.4819, 0.0000], [0.0000, 0.0000, 5.6028]],
  "species": ["K", "K", "K", "K", "Tl", "Tl", "Tl", "Tl", "Pb", "Pb", "Pb", "Pb"],
  "fractional_positions": [[0.2233, 0.2500, 0.0018], [0.2767, 0.7500, 0.5018], [0.7233, 0.2500, 0.4982], [0.7767, 0.7500, 0.9982], [0.0000, 0.0000, 0.5000], [0.0000, 0.5000, 0.5000], [0.5000, 0.0000, 0.0000], [0.5000, 0.5000, 0.0000], [0.0600, 0.7500, 0.0003], [0.4400, 0.2500, 0.5003], [0.5600, 0.7500, 0.4997], [0.9400, 0.2500, 0.9997]]
}



# 3
{
  "formula": "KTlPb",
  "functional": "GGA-PBE",
  "state": "relaxed",
  "space_group": "No. 5",
  "formation_enthalpy_0k_ev_per_atom": -0.117,
  "dft_energy_ev_per_atom": -2.5073,
  "crystal_system": "monoclinic",
  "lattice_angstrom": [[4.7058, -4.7306, 0.0000], [4.7058, 4.7306, 0.0000], [-4.6464, 0.0000, 4.7987]],
  "species": ["K", "K", "Tl", "Tl", "Pb", "Pb"],
  "fractional_positions": [[0.0000, 0.0000, 0.0000], [0.7529, 0.2471, 0.5000], [0.3756, 0.6226, 0.7496], [0.3774, 0.6244, 0.2504], [0.3765, 0.1234, 0.7504], [0.8766, 0.6235, 0.2496]]
}



# 4
{
  "formula": "KTlPb",
  "functional": "GGA-PBE",
  "state": "relaxed",
  "space_group": "No. 62",
  "formation_enthalpy_0k_ev_per_atom": -0.123,
  "dft_energy_ev_per_atom": -2.5134,
  "crystal_system": "orthorhombic",
  "lattice_angstrom": [[8.8192, 0.0000, 0.0000], [0.0000, 5.4796, 0.0000], [0.0000, 0.0000, 8.9518]],
  "species": ["K", "K", "K", "K", "Tl", "Tl", "Tl", "Tl", "Pb", "Pb", "Pb", "Pb"],
  "fractional_positions": [[0.0003, 0.2500, 0.1883], [0.9997, 0.7500, 0.8117], [0.5003, 0.2500, 0.3117], [0.4997, 0.7500, 0.6883], [0.1889, 0.2500, 0.5952], [0.3111, 0.7500, 0.0952], [0.6889, 0.2500, 0.9048], [0.8111, 0.7500, 0.4048], [0.1679, 0.7500, 0.4162], [0.3321, 0.2500, 0.9162], [0.6679, 0.7500, 0.0838], [0.8321, 0.2500, 0.5838]]
}



Across the entries above, energy above the lowest structure with this stoichiometry takes the values 74, 98, 52, 46 meV per atom, respectively.